Entry from Alexandria via LeMat-Bulk: an optimized crystal structure of K2YZr (PBE-GGA).

```
K2YZr
1.0
-0.352 2.282 -9.640
8.190 -5.359 -1.568
2.186 -4.032 -6.131
Y K Zr
2 4 2
Direct
0.500 0.500 0.000
0.250 0.750 0.500
0.634 0.125 0.250
0.116 0.625 0.250
0.375 0.366 0.750
0.875 0.884 0.750
0.000 0.000 0.000
0.750 0.250 0.500
```

Crystal system: tetragonal
Formation energy from the elements (eV/atom): 1.176
Distance to the lowest polymorph of the same formula (kcal/mol of atoms): 18.15
Raw total energy (eV/atom): -3.125


Entry from Alexandria via LeMat-Bulk: an optimized crystal structure of LiTe2Br (PBE-GGA).

```
LiTe2Br
1.0
2.534 0.000 7.945
-1.267 2.195 7.945
-1.267 -2.195 7.945
Te Br Li
2 1 1
Direct
0.884 0.884 0.884
0.116 0.116 0.116
0.000 0.000 0.000
0.500 0.500 0.500
```

Crystal system: trigonal
Energy relative to the elements, uncorrected (kJ/mol of atoms): -19
Distance to the lowest polymorph of the same formula (kcal/mol of atoms): 9.62
Raw total energy (eV/atom): -2.670


Entry from Alexandria via LeMat-Bulk: an optimized crystal structure of Tm2Ge4Ru3 (PBE-GGA).

```
Tm2Ge4Ru3
1.0
-0.760 -5.218 -1.641
2.702 1.046 4.702
-6.305 1.885 1.579
Tm Ge Ru
2 4 3
Direct
0.630 0.630 0.261
0.370 0.370 0.739
0.011 0.673 0.684
0.673 0.011 0.684
0.989 0.327 0.316
0.327 0.989 0.316
0.500 0.000 0.000
0.000 0.000 0.000
0.000 0.500 0.000
```

Crystal system: orthorhombic
Formation energy from the elements (eV/atom): -0.476
Raw total energy (eV/atom): -6.613


The total moment results, record by record, are as follows: 0.00, 0.00, 0.00 μB per atom.